Computed, not measured: a geometry-optimized Y2Pd4Pb3 structure at the PBE level of DFT. Values from VASP.

Results
Space-group type = Cmce, No. 64
Energy relative to the elements = -512 meV/atom

Quantum ESPRESSO input file:
```
&SYSTEM
  ibrav = 0, nat = 18, ntyp = 3
/
ATOMIC_SPECIES
Y 88.91 Y.upf
Pd 106.42 Pd.upf
Pb 207.20 Pb.upf
CELL_PARAMETERS angstrom
3.0975 -8.6750 0.0000
3.0975 8.6750 0.0000
0.0000 0.0000 7.4711
ATOMIC_POSITIONS crystal
Y 0.1003 0.8997 0.9066
Y 0.3997 0.6003 0.4066
Y 0.6003 0.3997 0.5934
Y 0.8997 0.1003 0.0934
Pd 0.1584 0.8416 0.5276
Pd 0.1774 0.3226 0.7500
Pd 0.3226 0.1774 0.2500
Pd 0.3416 0.6584 0.0276
Pd 0.6584 0.3416 0.9724
Pd 0.6774 0.8226 0.7500
Pd 0.8226 0.6774 0.2500
Pd 0.8416 0.1584 0.4724
Pb 0.0000 0.0000 0.5000
Pb 0.0120 0.4880 0.7500
Pb 0.4880 0.0120 0.2500
Pb 0.5000 0.5000 0.0000
Pb 0.5120 0.9880 0.7500
Pb 0.9880 0.5120 0.2500
```